An optimized crystal structure of LiIn2AgCl8, computed with GGA-PBE.

Lattice parameters (Å, degrees): 8.905 8.905 8.624 90.00 90.00 90.00
Space group I-4m2 (No. 119)
Unique sites:
1 Li 0.000 0.000 0.000 (multiplicity 2)
2 In 0.000 0.000 0.500 (multiplicity 2)
3 In 0.000 0.500 0.250 (multiplicity 2)
4 Ag 0.000 0.500 0.750 (multiplicity 2)
5 Cl 0.000 0.203 0.683 (multiplicity 8)
6 Cl 0.000 0.293 0.072 (multiplicity 8)

Properties
formation energy from raw total energies	-1.01	eV/atom
total magnetic moment	0.0	μB/cell